Entry 1:
Np3U3PdS8: optimized geometry, PBE-GGA.

a b c (Å): 7.663 7.663 7.761
angles (deg): 119.58 90.00 120.00
Fractional coordinates of all 15 atoms:
Np: 0.000 0.000 0.000
Np: 0.000 0.500 0.000
Np: 0.500 0.500 0.000
U: 0.500 0.000 0.500
U: 0.500 0.500 0.500
U: 0.000 0.500 0.500
Pd: 0.000 0.000 0.500
S: 0.249 0.498 0.247
S: 0.751 0.502 0.753
S: 0.747 0.493 0.248
S: 0.253 0.507 0.752
S: 0.747 0.001 0.248
S: 0.253 0.999 0.752
S: 0.255 0.001 0.248
S: 0.745 0.999 0.752

## Properties
Crystal system   trigonal
Formation energy from raw total energies   -1.240 eV per atom
Total energy   -8.63 eV per atom

Entry 2:
TaSb2P: optimized geometry, PBE-GGA.

a b c (Å): 3.537 3.701 6.446
angles (deg): 79.52 90.00 90.00
Fractional coordinates of all 4 atoms:
Ta: 0.500 0.500 0.000
Sb: 0.000 0.077 0.758
Sb: 0.000 0.923 0.242
P: 0.500 0.500 0.500

## Properties
Crystal system   monoclinic
Formation energy from raw total energies   0.324 eV per atom
Total energy   -6.05 eV per atom

Entry 3:
Dy3Y: optimized geometry, PBE-GGA.

a b c (Å): 3.630 6.278 6.709
angles (deg): 117.90 105.70 90.00
Fractional coordinates of all 4 atoms:
Y: 0.000 0.000 0.000
Dy: 0.249 0.582 0.499
Dy: 0.500 0.501 0.000
Dy: 0.751 0.084 0.501

## Properties
Energy of formation   7 meV/atom
Crystal system   orthorhombic
ΔE to the lowest computed polymorph   0.001 eV per atom
Total energy   -5.06 eV per atom